(1)
Crystalline MgHgIr2 at its relaxed geometry. Source: Alexandria via LeMat-Bulk, functional PBE.

a = 9.4107 Å, b = 2.9397 Å, c = 4.9080 Å
α = 90.00°, β = 101.00°, γ = 90.00°
Space group Cm (No. 8)
One atom of each set of equivalent atoms:
Mg  0.0000  0.0000  0.0000 [2 per cell]
Hg  0.2611  0.5000  0.2371 [2 per cell]
Ir  0.0170  0.5000  0.5383 [2 per cell]
Ir  0.2518  0.0000  0.7240 [2 per cell]

Computed properties:
- Crystal system: monoclinic
- Calculated formation energy: 0.096 eV per atom
- M_tot: 0.000 μB per atom

(2)
Crystalline MgHgIr4 at its relaxed geometry. Source: Alexandria via LeMat-Bulk, functional PBE.

a = 7.4326 Å, b = 7.4326 Å, c = 7.4326 Å
α = 90.00°, β = 90.00°, γ = 90.00°
Space group F-43m (No. 216)
One atom of each set of equivalent atoms:
Mg  0.0000  0.0000  0.0000 [4 per cell]
Hg  0.2500  0.2500  0.7500 [4 per cell]
Ir  0.1252  0.1252  0.3748 [16 per cell]

Computed properties:
- Crystal system: cubic
- Calculated formation energy: 0.183 eV per atom
- M_tot: 0.000 μB per atom

(3)
Crystalline Mg4HgIr at its relaxed geometry. Source: Alexandria via LeMat-Bulk, functional PBE.

a = 7.8389 Å, b = 4.5503 Å, c = 8.0697 Å
α = 90.00°, β = 108.97°, γ = 90.00°
Space group C2/m (No. 12)
One atom of each set of equivalent atoms:
Mg  0.1123  0.0000  0.3413 [4 per cell]
Mg  0.1352  0.5000  0.9063 [4 per cell]
Hg  0.0000  0.5000  0.5000 [2 per cell]
Ir  0.0000  0.0000  0.0000 [2 per cell]

Computed properties:
- ΔE to the lowest computed polymorph: 0 meV/atom
- Crystal system: monoclinic
- Calculated formation energy: -0.169 eV per atom
- M_tot: 0.000 μB per atom

(4)
Crystalline MgHgIr2 at its relaxed geometry. Source: Alexandria via LeMat-Bulk, functional PBE.

a = 2.8840 Å, b = 4.6451 Å, c = 10.6313 Å
α = 90.00°, β = 90.00°, γ = 90.00°
Space group Imm2 (No. 44)
One atom of each set of equivalent atoms:
Mg  0.0000  0.0000  0.0000 [2 per cell]
Hg  0.0000  0.5000  0.8058 [2 per cell]
Ir  0.0000  0.0000  0.5475 [2 per cell]
Ir  0.0000  0.5000  0.2473 [2 per cell]

Computed properties:
- Crystal system: orthorhombic
- Calculated formation energy: 0.153 eV per atom
- M_tot: 0.000 μB per atom